1.
16
Lattice="7.242 0.000 0.000 0.000 7.242 0.000 0.000 0.000 7.242" Properties=species:S:1:pos:R:3 comment="TiGeI2, relaxed, DFT PBE" crystal_system=cubic raw_formation_energy_ev_per_atom=0.313 magmom_total_mub_per_atom=0.000 vol_a3_per_cell=379.84 pbc="T T T"
Ti 0.000 0.000 0.000
Ti 0.000 3.621 3.621
Ti 3.621 0.000 3.621
Ti 3.621 3.621 0.000
Ge 0.000 0.000 3.621
Ge 0.000 3.621 0.000
Ge 3.621 0.000 0.000
Ge 3.621 3.621 3.621
I 1.811 1.811 1.811
I 1.811 1.811 5.432
I 1.811 5.432 1.811
I 1.811 5.432 5.432
I 5.432 1.811 1.811
I 5.432 1.811 5.432
I 5.432 5.432 1.811
I 5.432 5.432 5.432


2.
6
Lattice="3.946 0.000 0.000 0.000 3.946 0.000 0.000 0.000 12.180" Properties=species:S:1:pos:R:3 comment="TlSbPb, relaxed, DFT PBE" crystal_system=tetragonal raw_formation_energy_ev_per_atom=0.024 magmom_total_mub_per_atom=0.000 vol_a3_per_cell=189.64 pbc="T T T"
Tl 0.000 0.000 0.000
Tl 1.973 1.973 6.090
Sb 0.000 0.000 8.119
Sb 1.973 1.973 2.029
Pb 0.000 0.000 3.644
Pb 1.973 1.973 9.734


3.
5
Lattice="4.748 0.000 0.000 0.000 4.748 0.000 0.000 0.000 4.748" Properties=species:S:1:pos:R:3 comment="CaAsPt3, relaxed, DFT PBE" crystal_system=cubic delta_e_f_kj_per_mol_fu=-153 magmom_total_mub_per_atom=0.000 vol_a3_per_cell=107.07 pbc="T T T"
Ca 0.000 0.000 0.000
As 2.374 2.374 2.374
Pt 0.000 2.374 2.374
Pt 2.374 0.000 2.374
Pt 2.374 2.374 0.000